# 1
! CsLaRu3 | Alexandria | SCAN | PBEsol geometry; values from VASP
! * total energy: -35.303 eV per atom
! * space group: Pm-3m (221)
! * density: 7.5 g/cm3
! * magnetic moment: 3.86 μB/f.u.
! * energy of formation: 1.78 eV per atom
! * energy above the lowest structure with this stoichiometry: 0 meV/atom
&SYSTEM
  ibrav = 0, nat = 5, ntyp = 3
/
ATOMIC_SPECIES
Cs 132.91 Cs.upf
La 138.91 La.upf
Ru 101.07 Ru.upf
ATOMIC_POSITIONS crystal
Cs 0.000 0.000 0.000
La 0.500 0.500 0.500
Ru 0.000 0.500 0.500
Ru 0.500 0.000 0.500
Ru 0.500 0.500 0.000
CELL_PARAMETERS angstrom
5.020 0.000 0.000
0.000 5.020 0.000
0.000 0.000 5.020

=====

# 2
! CsLa2TcS | Alexandria | SCAN | PBEsol geometry; values from VASP
! * total energy: -33.841 eV per atom
! * space group: P4/mmm (123)
! * density: 6.4 g/cm3
! * magnetic moment: 0.00 μB/f.u.
&SYSTEM
  ibrav = 0, nat = 5, ntyp = 4
/
ATOMIC_SPECIES
Cs 132.91 Cs.upf
La 138.91 La.upf
Tc 98.00 Tc.upf
S 32.06 S.upf
ATOMIC_POSITIONS crystal
Cs 0.000 0.000 0.000
La 0.000 0.500 0.500
La 0.500 0.000 0.500
Tc 0.500 0.500 0.000
S 0.500 0.500 0.500
CELL_PARAMETERS angstrom
5.647 0.000 0.000
0.000 5.647 0.000
0.000 0.000 4.390

=====

# 3
! CsLa2SiSb | Alexandria | SCAN | PBEsol geometry; values from VASP
! * total energy: -33.184 eV per atom
! * space group: P4/mmm (123)
! * density: 5.4 g/cm3
! * magnetic moment: 0.00 μB/f.u.
&SYSTEM
  ibrav = 0, nat = 5, ntyp = 4
/
ATOMIC_SPECIES
Cs 132.91 Cs.upf
La 138.91 La.upf
Si 28.09 Si.upf
Sb 121.76 Sb.upf
ATOMIC_POSITIONS crystal
Cs 0.000 0.000 0.000
La 0.000 0.500 0.000
La 0.500 0.000 0.000
Si 0.000 0.000 0.500
Sb 0.500 0.500 0.500
CELL_PARAMETERS angstrom
5.791 0.000 0.000
0.000 5.791 0.000
0.000 0.000 5.161

=====

# 4
! Cs2LaTcSb | Alexandria | SCAN | PBEsol geometry; values from VASP
! * total energy: -37.373 eV per atom
! * space group: P4/mmm (123)
! * density: 4.8 g/cm3
! * magnetic moment: 1.14 μB/f.u.
&SYSTEM
  ibrav = 0, nat = 5, ntyp = 4
/
ATOMIC_SPECIES
Cs 132.91 Cs.upf
La 138.91 La.upf
Tc 98.00 Tc.upf
Sb 121.76 Sb.upf
ATOMIC_POSITIONS crystal
Cs 0.000 0.500 0.000
Cs 0.500 0.000 0.000
La 0.000 0.000 0.000
Tc 0.000 0.000 0.500
Sb 0.500 0.500 0.500
CELL_PARAMETERS angstrom
6.855 0.000 0.000
0.000 6.855 0.000
0.000 0.000 4.563

=====

# 5
! CsLaSbTe2 | Alexandria | SCAN | PBEsol geometry; values from VASP
! * total energy: -38.036 eV per atom
! * space group: P4/mmm (123)
! * density: 5.2 g/cm3
! * magnetic moment: 0.00 μB/f.u.
&SYSTEM
  ibrav = 0, nat = 5, ntyp = 4
/
ATOMIC_SPECIES
Cs 132.91 Cs.upf
La 138.91 La.upf
Sb 121.76 Sb.upf
Te 127.60 Te.upf
ATOMIC_POSITIONS crystal
Cs 0.000 0.000 0.000
La 0.500 0.500 0.500
Sb 0.000 0.000 0.500
Te 0.000 0.500 0.000
Te 0.500 0.000 0.000
CELL_PARAMETERS angstrom
5.919 0.000 0.000
0.000 5.919 0.000
0.000 0.000 5.899

=====

# 6
! CsLaSi2 | Alexandria | SCAN | PBEsol geometry; values from VASP
! * total energy: -24.836 eV per atom
! * space group: I4_1/amd (141)
! * density: 4.0 g/cm3
! * magnetic moment: 0.00 μB/f.u.
&SYSTEM
  ibrav = 0, nat = 8, ntyp = 3
/
ATOMIC_SPECIES
Cs 132.91 Cs.upf
La 138.91 La.upf
Si 28.09 Si.upf
ATOMIC_POSITIONS crystal
Cs 0.375 0.625 0.750
Cs 0.625 0.375 0.250
La 0.125 0.875 0.250
La 0.875 0.125 0.750
Si 0.000 0.000 0.000
Si 0.000 0.000 0.500
Si 0.000 0.500 0.000
Si 0.500 0.000 0.500
CELL_PARAMETERS angstrom
-2.536 2.536 10.599
2.536 -2.536 10.599
2.536 2.536 -10.599

=====

# 7
! CsLa3W | Alexandria | SCAN | PBEsol geometry; values from VASP
! * total energy: -46.775 eV per atom
! * space group: Pm-3m (221)
! * density: 6.5 g/cm3
! * magnetic moment: 0.00 μB/f.u.
! * energy of formation: 0.59 eV per atom
&SYSTEM
  ibrav = 0, nat = 5, ntyp = 3
/
ATOMIC_SPECIES
Cs 132.91 Cs.upf
La 138.91 La.upf
W 183.84 W.upf
ATOMIC_POSITIONS crystal
Cs 0.000 0.000 0.000
La 0.000 0.500 0.500
La 0.500 0.000 0.500
La 0.500 0.500 0.000
W 0.500 0.500 0.500
CELL_PARAMETERS angstrom
5.712 0.000 0.000
0.000 5.712 0.000
0.000 0.000 5.712

=====

# 8
! CsLa2Y | Alexandria | SCAN | PBEsol geometry; values from VASP
! * total energy: -37.356 eV per atom
! * space group: Fm-3m (225)
! * density: 5.4 g/cm3
! * magnetic moment: 0.23 μB/f.u.
! * energy of formation: 0.61 eV per atom
&SYSTEM
  ibrav = 0, nat = 4, ntyp = 3
/
ATOMIC_SPECIES
Cs 132.91 Cs.upf
La 138.91 La.upf
Y 88.91 Y.upf
ATOMIC_POSITIONS crystal
Cs 0.000 0.000 0.000
La 0.250 0.250 0.250
La 0.750 0.750 0.750
Y 0.500 0.500 0.500
CELL_PARAMETERS angstrom
0.000 4.238 4.238
4.238 0.000 4.238
4.238 4.238 0.000

=====

# 9
! CsLa3Zr | Alexandria | SCAN | PBEsol geometry; values from VASP
! * total energy: -39.054 eV per atom
! * space group: Pm-3m (221)
! * density: 5.2 g/cm3
! * magnetic moment: 0.37 μB/f.u.
! * energy of formation: 0.51 eV per atom
&SYSTEM
  ibrav = 0, nat = 5, ntyp = 3
/
ATOMIC_SPECIES
Cs 132.91 Cs.upf
La 138.91 La.upf
Zr 91.22 Zr.upf
ATOMIC_POSITIONS crystal
Cs 0.000 0.000 0.000
La 0.000 0.500 0.500
La 0.500 0.000 0.500
La 0.500 0.500 0.000
Zr 0.500 0.500 0.500
CELL_PARAMETERS angstrom
5.898 0.000 0.000
0.000 5.898 0.000
0.000 0.000 5.898

=====

# 10
! CsLaZr3 | Alexandria | SCAN | PBEsol geometry; values from VASP
! * total energy: -33.051 eV per atom
! * space group: Pm-3m (221)
! * density: 6.1 g/cm3
! * magnetic moment: 2.43 μB/f.u.
! * energy of formation: 1.55 eV per atom
! * energy above the lowest structure with this stoichiometry: 100 meV/atom
&SYSTEM
  ibrav = 0, nat = 5, ntyp = 3
/
ATOMIC_SPECIES
Cs 132.91 Cs.upf
La 138.91 La.upf
Zr 91.22 Zr.upf
ATOMIC_POSITIONS crystal
Cs 0.000 0.000 0.000
La 0.500 0.500 0.500
Zr 0.000 0.000 0.500
Zr 0.000 0.500 0.000
Zr 0.500 0.000 0.000
CELL_PARAMETERS angstrom
5.290 0.000 0.000
0.000 5.290 0.000
0.000 0.000 5.290

=====

# 11
! CsLaZr3 | Alexandria | SCAN | PBEsol geometry; values from VASP
! * total energy: -33.151 eV per atom
! * space group: Pm-3m (221)
! * density: 5.9 g/cm3
! * magnetic moment: 0.00 μB/f.u.
! * energy of formation: 1.45 eV per atom
! * energy above the lowest structure with this stoichiometry: 0 meV/atom
&SYSTEM
  ibrav = 0, nat = 5, ntyp = 3
/
ATOMIC_SPECIES
Cs 132.91 Cs.upf
La 138.91 La.upf
Zr 91.22 Zr.upf
ATOMIC_POSITIONS crystal
Cs 0.000 0.000 0.000
La 0.500 0.500 0.500
Zr 0.000 0.500 0.500
Zr 0.500 0.000 0.500
Zr 0.500 0.500 0.000
CELL_PARAMETERS angstrom
5.358 0.000 0.000
0.000 5.358 0.000
0.000 0.000 5.358

=====

# 12
! Cs2LiMgRh | Alexandria | SCAN | PBEsol geometry; values from VASP
! * total energy: -22.758 eV per atom
! * space group: P4/mmm (123)
! * density: 2.8 g/cm3
! * magnetic moment: 0.47 μB/f.u.
! * energy of formation: 0.59 eV per atom
&SYSTEM
  ibrav = 0, nat = 5, ntyp = 4
/
ATOMIC_SPECIES
Cs 132.91 Cs.upf
Li 6.94 Li.upf
Mg 24.30 Mg.upf
Rh 102.91 Rh.upf
ATOMIC_POSITIONS crystal
Cs 0.000 0.500 0.000
Cs 0.500 0.000 0.000
Li 0.000 0.000 0.500
Mg 0.500 0.500 0.000
Rh 0.500 0.500 0.500
CELL_PARAMETERS angstrom
7.050 0.000 0.000
0.000 7.050 0.000
0.000 0.000 4.760

=====

# 13
! CsLiMgSn2 | Alexandria | SCAN | PBEsol geometry; values from VASP
! * total energy: -23.292 eV per atom
! * space group: P4/mmm (123)
! * density: 4.5 g/cm3
! * magnetic moment: 0.00 μB/f.u.
! * energy of formation: 0.11 eV per atom
&SYSTEM
  ibrav = 0, nat = 5, ntyp = 4
/
ATOMIC_SPECIES
Cs 132.91 Cs.upf
Li 6.94 Li.upf
Mg 24.30 Mg.upf
Sn 118.71 Sn.upf
ATOMIC_POSITIONS crystal
Cs 0.000 0.000 0.000
Li 0.500 0.500 0.500
Mg 0.500 0.500 0.000
Sn 0.000 0.500 0.500
Sn 0.500 0.000 0.500
CELL_PARAMETERS angstrom
5.257 0.000 0.000
0.000 5.257 0.000
0.000 0.000 5.331

=====

# 14
! Cs2LiMn2 | Alexandria | SCAN | PBEsol geometry; values from VASP
! * total energy: -21.849 eV per atom
! * space group: I4/mmm (139)
! * density: 4.6 g/cm3
! * magnetic moment: 0.02 μB/f.u.
! * energy of formation: 1.06 eV per atom
&SYSTEM
  ibrav = 0, nat = 5, ntyp = 3
/
ATOMIC_SPECIES
Cs 132.91 Cs.upf
Li 6.94 Li.upf
Mn 54.94 Mn.upf
ATOMIC_POSITIONS crystal
Cs 0.133 0.133 0.000
Cs 0.867 0.867 0.000
Li 0.500 0.500 0.000
Mn 0.250 0.750 0.500
Mn 0.750 0.250 0.500
CELL_PARAMETERS angstrom
-1.613 1.613 13.271
1.613 -1.613 13.271
1.613 1.613 -13.271